# ZrBrNO2 (GGA-PBE, relaxed)
# * E_form (uncorrected): 0.550 eV per atom
# * electronic total energy: -25.7 eV for the cell shown
# * crystal system: tetragonal
# * space-group type: P4/mmm
data_ZrBrNO2
_cell_length_a 3.941
_cell_length_b 3.941
_cell_length_c 4.190
_cell_angle_alpha 90.00
_cell_angle_beta 90.00
_cell_angle_gamma 90.00
_symmetry_space_group_name_H-M 'P 1'
_symmetry_Int_Tables_number 1
_symmetry_space_group_name_Hall 'P 1'
loop_
_atom_site_label
_atom_site_type_symbol
_atom_site_fract_x
_atom_site_fract_y
_atom_site_fract_z
_atom_site_occupancy
O1 O 0.000 0.500 0.000 1
O2 O 0.500 0.000 0.000 1
Zr1 Zr 0.500 0.500 0.500 1
Br1 Br 0.000 0.000 0.000 1
N1 N 0.000 0.000 0.500 1